1.
This record from the Open Quantum Materials Database describes a relaxed ErGePO crystal. The functional is PBE.

abc: 4.2128 5.4776 6.0045
angles: 90.00 90.00 90.00
With the nearest neighbours (Å) after each atom.
Element x y z (fractional)
Er 0.0000 0.2313 0.0000  2 O 2.19-2.21
Er 0.0000 0.7687 0.5000  2 O 2.19-2.21
Ge 0.5000 0.3578 0.3920  2 O 2.17
Ge 0.5000 0.6422 0.8920  2 O 2.17
P 0.5000 0.0735 0.7114  2 Ge 2.47-2.60
P 0.5000 0.9265 0.2114  2 Ge 2.47-2.60
O 0.0000 0.4133 0.3252  2 Ge 2.17, 2 Er 2.19-2.21
O 0.0000 0.5867 0.8252  2 Ge 2.17, 2 Er 2.19-2.21

2.
This record from the Open Quantum Materials Database describes a relaxed ErGePO crystal. The functional is PBE.

abc: 4.5293 4.5293 7.5011
angles: 90.00 90.00 90.00
With the nearest neighbours (Å) after each atom.
Element x y z (fractional)
Er 0.2500 0.7500 0.0000  4 P 2.71
Er 0.7500 0.2500 0.0000  4 P 2.71
Ge 0.2500 0.2500 0.4372  4 O 2.31
Ge 0.7500 0.7500 0.5628  4 O 2.31
P 0.2500 0.2500 0.8027  4 Er 2.71, 1 Ge 2.74
P 0.7500 0.7500 0.1973  4 Er 2.71, 1 Ge 2.74
O 0.2500 0.7500 0.5000  4 Ge 2.31
O 0.7500 0.2500 0.5000  4 Ge 2.31

3.
This record from the Open Quantum Materials Database describes a relaxed ErGePO crystal. The functional is PBE.

abc: 3.9900 3.9900 8.9109
angles: 90.00 90.00 90.00
With the nearest neighbours (Å) after each atom.
Element x y z (fractional)
Er 0.2500 0.2500 0.1148  4 O 2.24
Er 0.7500 0.7500 0.8852  4 O 2.24
Ge 0.2500 0.7500 0.5000  4 P 2.65, 4 Ge 2.82
Ge 0.7500 0.2500 0.5000  4 P 2.65, 4 Ge 2.82
P 0.2500 0.2500 0.6950  4 Ge 2.65
P 0.7500 0.7500 0.3050  4 Ge 2.65
O 0.2500 0.7500 0.0000  4 Er 2.24
O 0.7500 0.2500 0.0000  4 Er 2.24

What are the E above lowest polymorph values for these records? In order: 10.93; 81.42; 0.00 kJ per mole of atoms.